Entry 1:
GGA-PBE Na2CuCl4, optimized geometry; distance to the lowest polymorph of the same formula = 0.0000 eV per atom; spin magnetization = 1.00 μB/f.u.; mass density = 2.493 Mg/m³; total energy = -3.2464 eV per atom; formation energy without anion corrections = -1.229 eV per atom
1.0
6.7424 0.0000 0.0000
0.0000 7.7082 0.0000
0.0000 0.0000 12.8844
Na Cu Cl
8 4 16
Cartesian
0.0314 0.9168 1.8492
0.0314 2.9373 8.2914
3.3399 4.7710 1.8492
3.3399 6.7914 8.2914
3.4026 0.9168 4.5930
3.4026 2.9373 11.0352
6.7111 4.7710 4.5930
6.7111 6.7914 11.0352
0.0000 0.0000 6.4422
0.0000 3.8541 0.0000
3.3712 0.0000 0.0000
3.3712 3.8541 6.4422
0.8188 0.2111 8.5902
0.8188 3.6430 2.1480
1.4799 1.1691 12.2413
1.4799 2.6850 5.7991
1.8913 5.0232 12.2413
1.8913 6.5391 5.7991
2.5524 4.0652 8.5902
2.5524 7.4972 2.1480
4.1900 0.2111 10.7364
4.1900 3.6430 4.2942
4.8512 1.1691 7.0853
4.8512 2.6850 0.6431
5.2625 5.0232 7.0853
5.2625 6.5391 0.6431
5.9236 4.0652 10.7364
5.9236 7.4972 4.2942

---

Entry 2:
GGA-PBE Na4CuCl5, optimized geometry; spin magnetization = 0.09 μB/f.u.; mass density = 2.532 Mg/m³; total energy = -3.3343 eV per atom; formation energy without anion corrections = -1.474 eV per atom
1.0
-4.3747 4.3747 2.8507
4.3747 -4.3747 2.8507
4.3747 4.3747 -2.8507
Na Cu Cl
4 1 5
Cartesian
6.1391 0.8574 0.0000
0.8574 2.6102 0.0000
3.5172 1.7645 2.8507
-1.7645 3.5172 2.8507
0.0000 0.0000 2.4676
0.0000 0.0000 0.1241
3.5758 1.8904 0.0168
2.4843 -0.7988 2.8675
1.8904 5.1735 0.0168
0.7988 2.4843 2.8675

---

Entry 3:
GGA-PBE Na2CuCl4, optimized geometry; distance to the lowest polymorph of the same formula = 0.0795 eV per atom; spin magnetization = 0.86 μB/f.u.; mass density = 2.547 Mg/m³; total energy = -3.1668 eV per atom; formation energy without anion corrections = -1.150 eV per atom
1.0
4.8404 0.0000 0.0000
0.0000 4.8404 0.0000
0.0000 0.0000 13.9881
Na Cu Cl
4 2 8
Cartesian
0.0000 0.0000 1.8955
0.0000 0.0000 12.0926
2.4202 2.4202 5.0985
2.4202 2.4202 8.8895
0.0000 0.0000 6.9940
2.4202 2.4202 0.0000
0.0000 0.0000 4.6219
0.0000 0.0000 9.3661
0.0000 2.4202 0.0000
0.0000 2.4202 6.9940
2.4202 0.0000 0.0000
2.4202 0.0000 6.9940
2.4202 2.4202 2.3721
2.4202 2.4202 11.6160